A plane-wave DFT calculation with PBE was carried out for a geometry-optimized Dy2ErMnSe6 structure.

Properties
Space-group type: P1
Uncorrected formation energy in kJ/mol of formula units: -1369

Cell lengths 7.020, 7.013, 7.482 Å; angles 61.98, 62.02, 60.07 degrees
Each line ends with the local moment (μB).
Atoms (fractional coordinates):
Dy1 0.518 0.518 0.446  0.04
Dy2 0.016 0.016 0.952  0.02
Se1 0.584 0.215 0.250  -0.02
Se2 0.950 0.584 0.251  -0.02
Se3 0.108 0.428 0.766  -0.02
Se4 0.216 0.951 0.250  -0.02
Se5 0.428 0.697 0.767  -0.03
Se6 0.698 0.108 0.766  -0.02
Mn1 0.324 0.324 0.029  3.80
Er1 0.821 0.821 0.538  0.06

=====

A plane-wave DFT calculation with PBE was carried out for a geometry-optimized Ca6DyO8 structure.

Properties
Space-group type: Fm-3m
Uncorrected formation energy in kJ/mol of formula units: -4153

Cell lengths 6.864, 6.864, 6.864 Å; angles 60.00, 60.00, 60.00 degrees
Each line ends with the local moment (μB).
Atoms (fractional coordinates):
Ca1 0.500 0.000 0.500  0.00
Ca2 0.000 0.500 0.500  0.00
Ca3 0.500 0.000 0.000  0.00
Ca4 0.000 0.500 0.000  0.00
Ca5 0.000 0.000 0.500  0.00
Ca6 0.500 0.500 0.000  0.00
O1 0.250 0.250 0.250  0.00
O2 0.750 0.750 0.750  0.00
O3 0.231 0.231 0.769  0.15
O4 0.769 0.231 0.231  0.15
O5 0.231 0.769 0.231  0.15
O6 0.231 0.769 0.769  0.15
O7 0.769 0.231 0.769  0.15
O8 0.769 0.769 0.231  0.15
Dy1 0.000 0.000 0.000  0.06

=====

A plane-wave DFT calculation with PBE was carried out for a geometry-optimized CaLaY2Pt structure.

Properties
E_form in meV/atom: -397
Space-group type: P4/mmm
Distance to the lowest polymorph of the same formula in meV/atom: 0

Cell lengths 5.641, 5.641, 5.608 Å; angles 90.00, 90.00, 90.00 degrees
Atoms (fractional coordinates):
Ca1 0.500 0.500 0.500
La1 0.000 0.000 0.500
Pt1 0.000 0.000 0.000
Y1 0.500 0.000 0.000
Y2 0.000 0.500 0.000

=====

A plane-wave DFT calculation with PBE was carried out for a geometry-optimized Lu2ScZn structure.

Properties
E_form in meV/atom: -154
Space-group type: P4/mmm
Distance to the lowest polymorph of the same formula in meV/atom: 0

Cell lengths 3.430, 3.430, 8.257 Å; angles 90.00, 90.00, 90.00 degrees
Atoms (fractional coordinates):
Lu1 0.000 0.000 0.784
Lu2 0.000 0.000 0.216
Zn1 0.500 0.500 0.000
Sc1 0.500 0.500 0.500

=====

A plane-wave DFT calculation with PBE was carried out for a geometry-optimized Co2GeN structure.

Properties
Space-group type: Fm-3m
Uncorrected formation energy in kJ/mol of formula units: 293
Distance to the lowest polymorph of the same formula in meV/atom: 652

Cell lengths 3.929, 3.929, 3.929 Å; angles 60.00, 60.00, 60.00 degrees
Each line ends with the local moment (μB).
Atoms (fractional coordinates):
N1 0.000 0.000 0.000  0.32
Co1 0.750 0.750 0.750  1.26
Co2 0.250 0.250 0.250  1.26
Ge1 0.500 0.500 0.500  -0.07

=====

A plane-wave DFT calculation with PBE was carried out for a geometry-optimized Ca2MnAsN structure.

Properties
Space-group type: P4/mmm
Uncorrected formation energy in kJ/mol of formula units: -362

Cell lengths 4.884, 4.884, 4.020 Å; angles 90.00, 90.00, 90.00 degrees
Each line ends with the local moment (μB).
Atoms (fractional coordinates):
N1 0.000 0.000 0.000  0.09
Ca1 0.000 0.500 0.000  0.03
Ca2 0.500 0.000 0.000  0.03
As1 0.500 0.500 0.500  0.10
Mn1 0.000 0.000 0.500  3.96

=====

A plane-wave DFT calculation with PBE was carried out for a geometry-optimized CoTcRu structure.

Properties
E_form in meV/atom: 240
Space-group type: I4mm
Distance to the lowest polymorph of the same formula in meV/atom: 162

Cell lengths 4.731, 4.731, 4.731 Å; angles 141.94, 141.94, 54.92 degrees
Each line ends with the local moment (μB).
Atoms (fractional coordinates):
Tc1 0.659 0.659 0.000  0.13
Ru1 0.337 0.337 0.000  0.17
Co1 0.004 0.004 0.000  1.48

=====

A plane-wave DFT calculation with PBE was carried out for a geometry-optimized CuAsCl2 structure.

Properties
Space-group type: Cmmm
Uncorrected formation energy in kJ/mol of formula units: 14
Distance to the lowest polymorph of the same formula in meV/atom: 387

Cell lengths 3.401, 3.401, 8.232 Å; angles 90.00, 90.00, 123.14 degrees
Atoms (fractional coordinates):
Cl1 0.000 0.000 0.048
Cl2 0.000 0.000 0.452
Cu1 0.500 0.500 0.250
As1 0.500 0.500 0.750

=====

A plane-wave DFT calculation with PBE was carried out for a geometry-optimized Ac3Lu structure.

Properties
E_form in meV/atom: 58
Space-group type: P6_3/mmc

Cell lengths 6.214, 7.817, 7.817 Å; angles 60.00, 90.00, 90.00 degrees
Atoms (fractional coordinates):
Lu1 0.750 0.667 0.667
Lu2 0.250 0.333 0.333
Ac1 0.750 0.170 0.170
Ac2 0.250 0.830 0.830
Ac3 0.250 0.341 0.830
Ac4 0.750 0.170 0.659
Ac5 0.750 0.659 0.170
Ac6 0.250 0.830 0.341

=====

A plane-wave DFT calculation with PBE was carried out for a geometry-optimized YAg structure.

Properties
E_form in meV/atom: -83
Space-group type: R-3m

Cell lengths 4.571, 4.571, 4.571 Å; angles 51.49, 51.49, 51.49 degrees
Atoms (fractional coordinates):
Y1 0.500 0.500 0.500
Ag1 0.000 0.000 0.000

=====

We obtain density of states at the Fermi level values of 0.447 0.373 1.694 1.206 0.905 0.280 1.588 0.489 1.666 1.036 states/eV/atom for the records listed above, in that order.
We obtain raw total energy values of -5.8033 -6.6214 -5.5766 -4.3156 -6.0290 -5.9794 -8.6763 -3.0737 -4.1535 -4.7411 eV per atom for the records listed above, in that order.